Computed, not measured: Ca4AcPd4 after structural relaxation at the PBE-GGA level of DFT.

Cell lengths 5.899, 9.307, 9.307 Å; angles 90.00, 90.00, 90.00 degrees
Positions (direct):
Pd 0.398 0.636 0.778
Pd 0.602 0.222 0.636
Pd 0.898 0.722 0.136
Pd 0.398 0.364 0.222
Pd 0.898 0.278 0.864
Pd 0.602 0.778 0.364
Pd 0.102 0.864 0.722
Pd 0.102 0.136 0.278
Ca 0.906 0.591 0.825
Ca 0.094 0.175 0.591
Ca 0.594 0.091 0.325
Ca 0.406 0.675 0.091
Ca 0.906 0.409 0.175
Ca 0.094 0.825 0.409
Ca 0.594 0.909 0.675
Ca 0.406 0.325 0.909
Ac 0.000 0.000 0.000
Ac 0.500 0.500 0.500

Properties
- electronic total energy (eV per atom) = -4.22
- space group = P4_2/n
- formation enthalpy at 0 K (eV per atom) = -0.57